Density functional theory data (PBE) for a relaxed YBeAg2Au crystal.

- Space group: P4/mmm (123)
- E_tot: -20.1 eV/cell
- Calculated formation energy: -0.179 eV per atom

abc: 4.566 4.566 4.568
angles: 90.00 90.00 90.00
Atoms (fractional coordinates):
Ag  0.500  0.000  0.000
Ag  0.000  0.500  0.000
Y  0.500  0.500  0.500
Au  0.000  0.000  0.500
Be  0.000  0.000  0.000


Density functional theory data (PBE) for a relaxed AsPtS2 crystal.

- Space group: I-42d (122)
- E_tot: -36.5 eV/cell
- Formation energy (no corrections): 173 meV per atom

abc: 5.638 5.638 6.893
angles: 65.86 65.86 90.00
Atoms (fractional coordinates):
As  0.500  0.500  0.000
As  0.250  0.750  0.500
S  0.875  0.904  0.750
S  0.654  0.125  0.250
S  0.096  0.625  0.250
S  0.375  0.346  0.750
Pt  0.750  0.250  0.500
Pt  0.000  0.000  0.000


Density functional theory data (PBE) for a relaxed ZrB2Ir crystal.

- Space group: I4_1/amd (141)
- Offset from the most stable computed form: 0 meV per atom
- E_tot: -63.1 eV/cell
- Calculated formation energy: -0.193 eV per atom

abc: 3.955 3.955 7.732
angles: 75.18 75.18 90.00
Atoms (fractional coordinates):
Ir  0.000  0.000  0.000
Ir  0.750  0.250  0.500
B  0.375  0.125  0.750
B  0.875  0.625  0.250
B  0.875  0.125  0.750
B  0.875  0.125  0.250
Zr  0.500  0.500  0.000
Zr  0.250  0.750  0.500


Number 1: V 95.2 Å³ per cell. Number 2: V 178.7 Å³ per cell. Number 3: V 112.8 Å³ per cell.